The following is a GGA-PBE calculation of a geometry-optimized Na2LiCeCl8 structure, from Alexandria via LeMat-Bulk.

Computed properties:
formation energy from raw total energies	-1.6403	eV per atom
energy	-3.745	eV/atom

abc: 6.6209 6.0629 7.9759
angles: 89.99 90.01 89.18
Last column: nearest neighbours and their distance in Å.
Positions (direct):
Na  0.4999  0.4998  0.7427  6 Cl 2.83-2.88
Na  0.5001  0.5002  0.2573  6 Cl 2.83-2.88
Li  0.0000  0.0000  0.5000  6 Cl 2.63-2.73
Ce  0.0000  0.0000  0.0000  6 Cl 2.64-2.65
Cl  0.1353  0.7541  0.2516  1 Li 2.63, 1 Ce 2.65, 1 Na 2.85
Cl  0.6700  0.7600  0.9999  1 Ce 2.64, 2 Na 2.83
Cl  0.8646  0.2458  0.2514  1 Li 2.63, 1 Ce 2.65, 1 Na 2.85
Cl  0.8647  0.2459  0.7484  1 Li 2.63, 1 Ce 2.65, 1 Na 2.85
Cl  0.3300  0.2400  0.0001  1 Ce 2.64, 2 Na 2.83
Cl  0.1354  0.7542  0.7486  1 Li 2.63, 1 Ce 2.65, 1 Na 2.85
Cl  0.6232  0.8231  0.5000  1 Cl 2.68, 1 Li 2.73, 2 Na 2.88
Cl  0.3768  0.1769  0.5000  1 Cl 2.68, 1 Li 2.73, 2 Na 2.88



The following is a GGA-PBE calculation of a geometry-optimized CaSc2As structure, from Alexandria via LeMat-Bulk.

Computed properties:
formation energy from the elements	-0.40	eV per atom
energy	-5.226	eV/atom

abc: 4.1559 4.0705 6.5492
angles: 67.20 90.00 90.00
Last column: nearest neighbours and their distance in Å.
Positions (direct):
Sc  0.0000  0.0899  0.0390  2 As 2.71
Sc  0.0000  0.4101  0.4610  2 As 2.71
As  0.5000  0.2500  0.2500  4 Sc 2.71
Ca  0.5000  0.7500  0.7500  2 As 3.11, 8 Sc 3.34-3.44



The following is a GGA-PBE calculation of a geometry-optimized Ta2AlW structure, from Alexandria via LeMat-Bulk.

Computed properties:
formation energy from the elements	-0.12	eV per atom
energy	-10.223	eV/atom

abc: 3.3432 3.3432 6.0835
angles: 90.00 90.00 90.00
Last column: nearest neighbours and their distance in Å.
Positions (direct):
Al  0.5000  0.5000  0.0000  8 Ta 2.82, 2 W 3.04
W  0.5000  0.5000  0.5000  8 Ta 2.80, 2 Al 3.04
Ta  0.0000  0.0000  0.7471  4 W 2.80, 4 Al 2.82, 2 Ta 3.01-3.08
Ta  0.0000  0.0000  0.2529  4 W 2.80, 4 Al 2.82, 2 Ta 3.01-3.08



no.,theoretical density (kg/m3)
1,2472
2,3331
3,13986